Record 1
VASP calculation (PBE) on a relaxed structure of YHgOs4.

abc: 5.3125 5.3125 5.3125
angles: 60.00 60.00 60.00
Last column: nearest neighbours and their distance in Å.
Fractional positions:
1 Y 0.0000 0.0000 0.0000  12 Os 3.12, 4 Hg 3.25
2 Hg 0.7500 0.7500 0.7500  12 Os 3.11, 4 Y 3.25
3 Os 0.3752 0.3752 0.3752  6 Os 2.65-2.66
4 Os 0.3752 0.3752 0.8743  6 Os 2.65-2.66
5 Os 0.3752 0.8743 0.3752  6 Os 2.65-2.66
6 Os 0.8743 0.3752 0.3752  6 Os 2.65-2.66

## Properties
- Magnetic moment: 0.000 μB per atom
- DFT formation energy: 278 meV per atom

Record 2
VASP calculation (PBE) on a relaxed structure of YHg2Os.

abc: 3.2056 4.8936 5.5846
angles: 90.00 104.29 90.00
Last column: nearest neighbours and their distance in Å.
Fractional positions:
1 Y 0.0000 0.0000 0.0000  2 Os 2.86
2 Hg 0.3629 0.5000 0.7314  2 Os 2.85, 3 Hg 2.91-3.02
3 Hg 0.6371 0.5000 0.2686  2 Os 2.85, 3 Hg 2.91-3.02
4 Os 0.5000 0.0000 0.5000  4 Hg 2.85, 2 Y 2.86

## Properties
- Magnetic moment: 0.112 μB per atom
- Energy relative to the lowest polymorph listed for this composition: 61 kJ/mol of formula units
- DFT formation energy: 254 meV per atom

Record 3
VASP calculation (PBE) on a relaxed structure of YHg2Os.

abc: 3.4110 3.4110 7.5557
angles: 90.00 90.00 90.00
Last column: nearest neighbours and their distance in Å.
Fractional positions:
1 Y 0.0000 0.0000 0.0000  4 Os 2.90, 1 Hg 3.21
2 Hg 0.0000 0.0000 0.5747  4 Os 2.89, 4 Hg 3.15, 1 Y 3.21
3 Hg 0.5000 0.5000 0.3074  8 Hg 3.15-3.41, 4 Y 3.35
4 Os 0.5000 0.5000 0.7860  4 Hg 2.89, 4 Y 2.90

## Properties
- Magnetic moment: 0.000 μB per atom
- Energy relative to the lowest polymorph listed for this composition: 31 kJ/mol of formula units
- DFT formation energy: 175 meV per atom

Record 4
VASP calculation (PBE) on a relaxed structure of YHg2Os.

abc: 4.9167 4.9167 4.9167
angles: 60.00 60.00 60.00
Last column: nearest neighbours and their distance in Å.
Fractional positions:
1 Y 0.0000 0.0000 0.0000  4 Hg 3.01, 4 Os 3.01
2 Hg 0.5000 0.5000 0.5000  4 Hg 3.01, 4 Os 3.01
3 Hg 0.7500 0.7500 0.7500  4 Hg 3.01, 4 Y 3.01
4 Os 0.2500 0.2500 0.2500  4 Hg 3.01, 4 Y 3.01

## Properties
- Magnetic moment: 0.000 μB per atom
- Energy relative to the lowest polymorph listed for this composition: 81 kJ/mol of formula units
- DFT formation energy: 305 meV per atom

Record 5
VASP calculation (PBE) on a relaxed structure of YHgOs2.

abc: 4.7316 4.7316 4.7316
angles: 60.00 60.00 60.00
Last column: nearest neighbours and their distance in Å.
Fractional positions:
1 Y 0.0000 0.0000 0.0000  4 Hg 2.90, 4 Os 2.90
2 Hg 0.2500 0.2500 0.2500  4 Os 2.90, 4 Y 2.90
3 Os 0.5000 0.5000 0.5000  4 Hg 2.90, 4 Os 2.90
4 Os 0.7500 0.7500 0.7500  4 Os 2.90, 4 Y 2.90

## Properties
- Magnetic moment: 0.416 μB per atom
- DFT formation energy: 569 meV per atom

Record 6
VASP calculation (PBE) on a relaxed structure of YHgOs2.

abc: 5.2612 5.2612 5.2612
angles: 133.79 133.79 67.42
Last column: nearest neighbours and their distance in Å.
Fractional positions:
1 Y 0.0000 0.0000 0.0000  4 Hg 2.92, 8 Os 3.01
2 Hg 0.5000 0.5000 0.0000  4 Y 2.92, 8 Os 3.01
3 Os 0.2500 0.7500 0.5000  4 Os 2.92, 4 Hg 3.01, 4 Y 3.01
4 Os 0.7500 0.2500 0.5000  4 Os 2.92, 4 Hg 3.01, 4 Y 3.01

## Properties
- Magnetic moment: 0.313 μB per atom
- DFT formation energy: 562 meV per atom

Record 7
VASP calculation (PBE) on a relaxed structure of YHg2Os.

abc: 5.9818 5.9818 3.5043
angles: 106.32 106.32 121.71
Last column: nearest neighbours and their distance in Å.
Fractional positions:
1 Y 0.0000 0.0000 0.0000  4 Os 2.91-3.00, 4 Hg 3.01
2 Hg 0.0000 0.5000 0.5000  4 Hg 2.91-3.00, 2 Os 3.01, 2 Y 3.01
3 Hg 0.5000 0.0000 0.5000  4 Hg 2.91-3.00, 2 Os 3.01, 2 Y 3.01
4 Os 0.5000 0.5000 0.0000  4 Y 2.91-3.00, 4 Hg 3.01

## Properties
- Magnetic moment: 0.000 μB per atom
- Energy relative to the lowest polymorph listed for this composition: 91 kJ/mol of formula units
- DFT formation energy: 332 meV per atom

Record 8
VASP calculation (PBE) on a relaxed structure of YHgOs3.

abc: 4.9074 4.9074 4.9074
angles: 90.00 90.00 90.00
Last column: nearest neighbours and their distance in Å.
Fractional positions:
1 Y 0.0000 0.0000 0.0000  12 Os 3.47
2 Hg 0.5000 0.5000 0.5000  6 Os 2.45
3 Os 0.0000 0.5000 0.5000  2 Hg 2.45
4 Os 0.5000 0.0000 0.5000  2 Hg 2.45
5 Os 0.5000 0.5000 0.0000  2 Hg 2.45

## Properties
- Magnetic moment: 0.451 μB per atom
- Energy relative to the lowest polymorph listed for this composition: 0 kJ/mol of formula units
- DFT formation energy: 2317 meV per atom

Record 9
VASP calculation (PBE) on a relaxed structure of YHg2Os.

abc: 5.3522 5.3522 5.3522
angles: 132.29 132.29 69.77
Last column: nearest neighbours and their distance in Å.
Fractional positions:
1 Y 0.0000 0.0000 0.0000  8 Hg 3.06-3.08, 4 Os 3.08
2 Hg 0.5000 0.5000 0.0000  4 Y 3.06, 4 Hg 3.08, 4 Os 3.08
3 Hg 0.7500 0.2500 0.5000  4 Os 3.06, 4 Hg 3.08, 4 Y 3.08
4 Os 0.2500 0.7500 0.5000  8 Hg 3.06-3.08, 4 Y 3.08

## Properties
- Magnetic moment: 0.000 μB per atom
- Energy relative to the lowest polymorph listed for this composition: 46 kJ/mol of formula units
- DFT formation energy: 215 meV per atom

Record 10
VASP calculation (PBE) on a relaxed structure of YHgOs2.

abc: 2.9884 2.9884 8.4236
angles: 90.00 90.00 90.00
Last column: nearest neighbours and their distance in Å.
Fractional positions:
1 Y 0.0000 0.0000 0.0000  4 Y 2.99, 4 Os 3.06, 4 Hg 3.26
2 Hg 0.5000 0.5000 0.2945  4 Hg 2.99, 4 Os 3.05, 4 Y 3.26
3 Os 0.0000 0.0000 0.5558  4 Os 2.61
4 Os 0.5000 0.5000 0.7379  4 Os 2.61

## Properties
- Magnetic moment: 0.000 μB per atom
- DFT formation energy: 180 meV per atom

Record 11
VASP calculation (PBE) on a relaxed structure of Y5Hg2Os2.

abc: 8.9186 8.9186 7.5698
angles: 90.00 90.00 49.46
Last column: nearest neighbours and their distance in Å.
Fractional positions:
1 Y 0.0000 0.0000 0.0000  4 Os 3.01-3.02
2 Y 0.0578 0.6945 0.6808  3 Os 2.94-3.06, 3 Hg 3.15-3.18
3 Y 0.1945 0.5578 0.1808  3 Os 2.94-3.06, 3 Hg 3.15-3.18
4 Y 0.3055 0.9422 0.6808  3 Os 2.94-3.06, 3 Hg 3.15-3.18
5 Y 0.4422 0.8055 0.1808  3 Os 2.94-3.06, 3 Hg 3.15-3.18
6 Y 0.5000 0.5000 0.5000  4 Os 3.01-3.02
7 Y 0.5578 0.1945 0.8192  3 Os 2.94-3.06, 3 Hg 3.15-3.18
8 Y 0.6945 0.0578 0.3192  3 Os 2.94-3.06, 3 Hg 3.15-3.18
9 Y 0.8055 0.4422 0.8192  3 Os 2.94-3.06, 3 Hg 3.15-3.18
10 Y 0.9422 0.3055 0.3192  3 Os 2.94-3.06, 3 Hg 3.15-3.18
11 Hg 0.2198 0.2198 0.0000  6 Y 3.15-3.18
12 Hg 0.2802 0.2802 0.5000  6 Y 3.15-3.18
13 Hg 0.7198 0.7198 0.5000  6 Y 3.15-3.18
14 Hg 0.7802 0.7802 0.0000  6 Y 3.15-3.18
15 Os 0.1144 0.8856 0.3822  1 Os 2.47
16 Os 0.3856 0.6144 0.8822  1 Os 2.47
17 Os 0.6144 0.3856 0.1178  1 Os 2.47
18 Os 0.8856 0.1144 0.6178  1 Os 2.47

## Properties
- Magnetic moment: 0.000 μB per atom
- DFT formation energy: -358 meV per atom

Record 12
VASP calculation (PBE) on a relaxed structure of YHgOs2.

abc: 9.3675 9.3675 9.3675
angles: 18.82 18.82 18.82
Last column: nearest neighbours and their distance in Å.
Fractional positions:
1 Y 0.0000 0.0000 0.0000  6 Os 2.90, 6 Y 3.06
2 Hg 0.5000 0.5000 0.5000  6 Os 2.91, 6 Hg 3.06
3 Os 0.2503 0.2503 0.2503  3 Y 2.90, 3 Hg 2.91, 6 Os 3.06
4 Os 0.7497 0.7497 0.7497  3 Y 2.90, 3 Hg 2.91, 6 Os 3.06

## Properties
- Magnetic moment: 0.000 μB per atom
- DFT formation energy: 771 meV per atom